# 1
This record from OQMD via LeMat-Bulk describes crystalline Zn3Mo at its relaxed geometry. The functional is PBE.

Summary:
spin magnetization	0.0006	μB/atom
formation energy	98	meV per atom
space group	P6_3/mmc, No. 194
crystal system	hexagonal
raw total energy	-3.5631	eV/atom
mass density	8.45	Mg/m³

```
data_Zn3Mo
_symmetry_space_group_name_H-M 'P 1'
_symmetry_Int_Tables_number 1
_cell_length_a 5.407
_cell_length_b 5.407
_cell_length_c 4.537
_cell_angle_alpha 90.00
_cell_angle_beta 90.00
_cell_angle_gamma 120.00
loop_
_symmetry_equiv_pos_as_xyz
'x,y,z'
loop_
_atom_site_label
_atom_site_type_symbol
_atom_site_fract_x
_atom_site_fract_y
_atom_site_fract_z
Mo1 Mo 0.000 0.000 0.000
Zn1 Zn 0.500 0.999 0.000
Zn2 Zn 0.001 0.500 0.000
Zn3 Zn 0.333 0.166 0.500
Zn4 Zn 0.834 0.667 0.500
Mo2 Mo 0.333 0.667 0.500
Zn5 Zn 0.834 0.166 0.500
Zn6 Zn 0.500 0.500 0.000
```

***

# 2
This record from OQMD via LeMat-Bulk describes crystalline Zn3Mo at its relaxed geometry. The functional is PBE.

Summary:
spin magnetization	0.0007	μB/atom
formation energy	-40	meV per atom
space group	Pm-3m, No. 221
crystal system	cubic
raw total energy	-3.7011	eV/atom
mass density	8.46	Mg/m³

```
data_Zn3Mo
_symmetry_space_group_name_H-M 'P 1'
_symmetry_Int_Tables_number 1
_cell_length_a 3.856
_cell_length_b 3.856
_cell_length_c 3.856
_cell_angle_alpha 90.00
_cell_angle_beta 90.00
_cell_angle_gamma 90.00
loop_
_symmetry_equiv_pos_as_xyz
'x,y,z'
loop_
_atom_site_label
_atom_site_type_symbol
_atom_site_fract_x
_atom_site_fract_y
_atom_site_fract_z
Zn1 Zn 0.500 0.500 0.000
Zn2 Zn 0.000 0.500 0.500
Zn3 Zn 0.500 0.000 0.500
Mo1 Mo 0.000 0.000 0.000
```

***

# 3
This record from OQMD via LeMat-Bulk describes crystalline Zn3Mo at its relaxed geometry. The functional is PBE.

Summary:
spin magnetization	0.0003	μB/atom
formation energy	42	meV per atom
space group	Cmcm, No. 63
crystal system	orthorhombic
raw total energy	-3.6188	eV/atom
mass density	8.24	Mg/m³

```
data_Zn3Mo
_symmetry_space_group_name_H-M 'P 1'
_symmetry_Int_Tables_number 1
_cell_length_a 5.444
_cell_length_b 5.569
_cell_length_c 4.450
_cell_angle_alpha 90.00
_cell_angle_beta 90.00
_cell_angle_gamma 119.26
loop_
_symmetry_equiv_pos_as_xyz
'x,y,z'
loop_
_atom_site_label
_atom_site_type_symbol
_atom_site_fract_x
_atom_site_fract_y
_atom_site_fract_z
Zn1 Zn 0.503 0.506 0.000
Mo1 Mo 0.849 0.197 0.500
Zn2 Zn 0.346 0.686 0.500
Mo2 Mo 0.985 0.470 0.000
Zn3 Zn 0.840 0.686 0.500
Zn4 Zn 0.487 0.981 0.000
Zn5 Zn 0.993 0.981 0.000
Zn6 Zn 0.331 0.161 0.500
```

***

# 4
This record from OQMD via LeMat-Bulk describes crystalline Zn13Mo at its relaxed geometry. The functional is PBE.

Summary:
spin magnetization	0.0004	μB/atom
formation energy	-2	meV per atom
space group	C2/m, No. 12
crystal system	monoclinic
raw total energy	-1.9514	eV/atom
mass density	7.37	Mg/m³

```
data_Zn13Mo
_symmetry_space_group_name_H-M 'P 1'
_symmetry_Int_Tables_number 1
_cell_length_a 6.608
_cell_length_b 6.608
_cell_length_c 5.244
_cell_angle_alpha 98.50
_cell_angle_beta 98.50
_cell_angle_gamma 71.18
loop_
_symmetry_equiv_pos_as_xyz
'x,y,z'
loop_
_atom_site_label
_atom_site_type_symbol
_atom_site_fract_x
_atom_site_fract_y
_atom_site_fract_z
Zn1 Zn 0.777 0.375 0.317
Zn2 Zn 0.384 0.384 0.054
Zn3 Zn 0.625 0.223 0.683
Zn4 Zn 0.773 0.773 0.631
Zn5 Zn 0.008 0.640 0.192
Zn6 Zn 0.992 0.360 0.808
Zn7 Zn 0.375 0.777 0.317
Zn8 Zn 0.616 0.616 0.946
Zn9 Zn 0.227 0.227 0.369
Zn10 Zn 0.223 0.625 0.683
Zn11 Zn 0.640 0.008 0.192
Zn12 Zn 0.360 0.992 0.808
Mo1 Mo 0.000 0.000 0.500
Zn13 Zn 0.000 0.000 0.000
```

***

# 5
This record from OQMD via LeMat-Bulk describes crystalline ZnMo2 at its relaxed geometry. The functional is PBE.

Summary:
spin magnetization	0.0008	μB/atom
formation energy	551	meV per atom
space group	Fd-3m, No. 227
crystal system	cubic
raw total energy	-7.1027	eV/atom
mass density	8.47	Mg/m³

```
data_ZnMo2
_symmetry_space_group_name_H-M 'P 1'
_symmetry_Int_Tables_number 1
_cell_length_a 5.225
_cell_length_b 5.225
_cell_length_c 5.225
_cell_angle_alpha 60.00
_cell_angle_beta 60.00
_cell_angle_gamma 60.00
loop_
_symmetry_equiv_pos_as_xyz
'x,y,z'
loop_
_atom_site_label
_atom_site_type_symbol
_atom_site_fract_x
_atom_site_fract_y
_atom_site_fract_z
Mo1 Mo 0.125 0.625 0.625
Mo2 Mo 0.625 0.625 0.625
Mo3 Mo 0.625 0.625 0.125
Zn1 Zn 0.250 0.250 0.250
Zn2 Zn 0.000 0.000 0.000
Mo4 Mo 0.625 0.125 0.625
```

***

# 6
This record from OQMD via LeMat-Bulk describes crystalline ZnMo2 at its relaxed geometry. The functional is PBE.

Summary:
spin magnetization	2.9955	μB/atom
formation energy	3597	meV per atom
space group	Fd-3m, No. 227
crystal system	cubic
raw total energy	-4.0566	eV/atom
mass density	2.17	Mg/m³

```
data_ZnMo2
_symmetry_space_group_name_H-M 'P 1'
_symmetry_Int_Tables_number 1
_cell_length_a 8.233
_cell_length_b 8.233
_cell_length_c 8.233
_cell_angle_alpha 60.00
_cell_angle_beta 60.00
_cell_angle_gamma 60.00
loop_
_symmetry_equiv_pos_as_xyz
'x,y,z'
loop_
_atom_site_label
_atom_site_type_symbol
_atom_site_fract_x
_atom_site_fract_y
_atom_site_fract_z
Mo1 Mo 0.375 0.875 0.375
Mo2 Mo 0.375 0.375 0.375
Mo3 Mo 0.875 0.375 0.375
Mo4 Mo 0.375 0.375 0.875
Zn1 Zn 0.500 0.500 0.500
Zn2 Zn 0.250 0.250 0.250
```

***

# 7
This record from OQMD via LeMat-Bulk describes crystalline ZrZnMo2 at its relaxed geometry. The functional is PBE.

Summary:
spin magnetization	0.0042	μB/atom
formation energy	46	meV per atom
space group	F-43m, No. 216
crystal system	cubic
raw total energy	-7.8311	eV/atom
mass density	8.55	Mg/m³

```
data_ZrZnMo2
_symmetry_space_group_name_H-M 'P 1'
_symmetry_Int_Tables_number 1
_cell_length_a 4.574
_cell_length_b 4.574
_cell_length_c 4.574
_cell_angle_alpha 60.00
_cell_angle_beta 60.00
_cell_angle_gamma 60.00
loop_
_symmetry_equiv_pos_as_xyz
'x,y,z'
loop_
_atom_site_label
_atom_site_type_symbol
_atom_site_fract_x
_atom_site_fract_y
_atom_site_fract_z
Zn1 Zn 0.500 0.500 0.500
Zr1 Zr 0.250 0.250 0.250
Mo1 Mo 0.750 0.750 0.750
Mo2 Mo 0.000 0.000 0.000
```

***

# 8
This record from OQMD via LeMat-Bulk describes crystalline Zr2ZnMo at its relaxed geometry. The functional is PBE.

Summary:
spin magnetization	0.0107	μB/atom
formation energy	142	meV per atom
space group	F-43m, No. 216
crystal system	cubic
raw total energy	-7.1593	eV/atom
mass density	7.75	Mg/m³

```
data_Zr2ZnMo
_symmetry_space_group_name_H-M 'P 1'
_symmetry_Int_Tables_number 1
_cell_length_a 4.706
_cell_length_b 4.706
_cell_length_c 4.706
_cell_angle_alpha 60.00
_cell_angle_beta 60.00
_cell_angle_gamma 60.00
loop_
_symmetry_equiv_pos_as_xyz
'x,y,z'
loop_
_atom_site_label
_atom_site_type_symbol
_atom_site_fract_x
_atom_site_fract_y
_atom_site_fract_z
Zr1 Zr 0.750 0.750 0.750
Mo1 Mo 0.250 0.250 0.250
Zr2 Zr 0.000 0.000 0.000
Zn1 Zn 0.500 0.500 0.500
```

***

# 9
This record from OQMD via LeMat-Bulk describes crystalline Zr4ZnMo at its relaxed geometry. The functional is PBE.

Summary:
spin magnetization	0.0051	μB/atom
formation energy	622	meV per atom
space group	Cmmm, No. 65
crystal system	orthorhombic
raw total energy	-7.0944	eV/atom
mass density	5.92	Mg/m³

```
data_Zr4ZnMo
_symmetry_space_group_name_H-M 'P 1'
_symmetry_Int_Tables_number 1
_cell_length_a 5.715
_cell_length_b 5.715
_cell_length_c 4.515
_cell_angle_alpha 90.00
_cell_angle_beta 90.00
_cell_angle_gamma 90.43
loop_
_symmetry_equiv_pos_as_xyz
'x,y,z'
loop_
_atom_site_label
_atom_site_type_symbol
_atom_site_fract_x
_atom_site_fract_y
_atom_site_fract_z
Mo1 Mo 0.500 0.500 0.000
Zr1 Zr 0.190 0.810 0.000
Zr2 Zr 0.316 0.316 0.500
Zn1 Zn 0.000 0.000 0.500
Zr3 Zr 0.810 0.190 0.000
Zr4 Zr 0.684 0.684 0.500
```

***

# 10
This record from OQMD via LeMat-Bulk describes crystalline Zr3Mo at its relaxed geometry. The functional is PBE.

Summary:
spin magnetization	0.0044	μB/atom
formation energy	52	meV per atom
space group	Cmcm, No. 63
crystal system	orthorhombic
raw total energy	-9.0699	eV/atom
mass density	7.40	Mg/m³

```
data_Zr3Mo
_symmetry_space_group_name_H-M 'P 1'
_symmetry_Int_Tables_number 1
_cell_length_a 7.201
_cell_length_b 6.149
_cell_length_c 4.621
_cell_angle_alpha 90.00
_cell_angle_beta 90.00
_cell_angle_gamma 125.83
loop_
_symmetry_equiv_pos_as_xyz
'x,y,z'
loop_
_atom_site_label
_atom_site_type_symbol
_atom_site_fract_x
_atom_site_fract_y
_atom_site_fract_z
Mo1 Mo 0.046 0.592 0.000
Mo2 Mo 0.787 0.074 0.500
Zr1 Zr 0.265 0.585 0.500
Zr2 Zr 0.569 0.081 0.000
Zr3 Zr 0.820 0.585 0.500
Zr4 Zr 0.307 0.115 0.500
Zr5 Zr 0.013 0.082 0.000
Zr6 Zr 0.526 0.552 0.000
```

***

# 11
This record from OQMD via LeMat-Bulk describes crystalline Zr3Mo at its relaxed geometry. The functional is PBE.

Summary:
spin magnetization	0.0027	μB/atom
formation energy	99	meV per atom
space group	Pmmn, No. 59
crystal system	orthorhombic
raw total energy	-9.0235	eV/atom
mass density	7.46	Mg/m³

```
data_Zr3Mo
_symmetry_space_group_name_H-M 'P 1'
_symmetry_Int_Tables_number 1
_cell_length_a 4.961
_cell_length_b 6.879
_cell_length_c 4.821
_cell_angle_alpha 90.00
_cell_angle_beta 90.00
_cell_angle_gamma 90.00
loop_
_symmetry_equiv_pos_as_xyz
'x,y,z'
loop_
_atom_site_label
_atom_site_type_symbol
_atom_site_fract_x
_atom_site_fract_y
_atom_site_fract_z
Zr1 Zr 0.439 0.252 0.000
Zr2 Zr 0.894 0.752 0.500
Zr3 Zr 0.963 0.500 0.000
Mo1 Mo 0.391 0.500 0.500
Mo2 Mo 0.942 0.000 0.000
Zr4 Zr 0.370 0.000 0.500
Zr5 Zr 0.894 0.248 0.500
Zr6 Zr 0.439 0.748 0.000
```

***

# 12
This record from OQMD via LeMat-Bulk describes crystalline Zr3Mo at its relaxed geometry. The functional is PBE.

Summary:
spin magnetization	0.0065	μB/atom
formation energy	222	meV per atom
space group	Pm-3m, No. 221
crystal system	cubic
raw total energy	-8.9007	eV/atom
mass density	7.30	Mg/m³

```
data_Zr3Mo
_symmetry_space_group_name_H-M 'P 1'
_symmetry_Int_Tables_number 1
_cell_length_a 4.382
_cell_length_b 4.382
_cell_length_c 4.382
_cell_angle_alpha 90.00
_cell_angle_beta 90.00
_cell_angle_gamma 90.00
loop_
_symmetry_equiv_pos_as_xyz
'x,y,z'
loop_
_atom_site_label
_atom_site_type_symbol
_atom_site_fract_x
_atom_site_fract_y
_atom_site_fract_z
Zr1 Zr 0.000 0.500 0.500
Mo1 Mo 0.000 0.000 0.000
Zr2 Zr 0.500 0.500 0.000
Zr3 Zr 0.500 0.000 0.500
```